# ReSiC3 GGA-PBE relaxed
# formation energy from raw total energies: 219.38 kJ per mole of atoms
# magnetization: 0.250 μB/atom
# energy above the lowest structure with this stoichiometry: 297 meV per atom
data_ReSiC3
_chemical_formula_sum 'Re1 Si1 C3'
_cell_length_a 3.700
_cell_length_b 3.700
_cell_length_c 3.700
_cell_angle_alpha 90.00
_cell_angle_beta 90.00
_cell_angle_gamma 90.00
_space_group_name_H-M_alt 'P m -3 m'
_space_group_IT_number 221
_space_group_name_Hall '-P 4 2 3'
loop_
_atom_site_label
_atom_site_fract_x
_atom_site_fract_y
_atom_site_fract_z
Re1 0.000 0.000 0.000
Si1 0.500 0.500 0.500
C1 0.000 0.500 0.500